Crystalline HfGeSe3 at its relaxed geometry, computed with GGA-PBE.

Lattice parameters (Å, degrees): 3.781 10.017 15.043 90.00 90.00 90.00
Fractional positions:
Se  0.750  0.014  0.609
Hf  0.250  0.849  0.546
Se  0.250  0.818  0.982
Se  0.750  0.182  0.018
Hf  0.750  0.651  0.046
Se  0.250  0.318  0.518
Hf  0.750  0.151  0.454
Ge  0.750  0.075  0.862
Ge  0.250  0.925  0.138
Se  0.250  0.722  0.702
Ge  0.750  0.575  0.638
Se  0.750  0.682  0.482
Se  0.750  0.778  0.202
Se  0.250  0.486  0.109
Ge  0.250  0.425  0.362
Hf  0.250  0.349  0.954
Se  0.750  0.514  0.891
Se  0.750  0.278  0.298
Se  0.250  0.222  0.798
Se  0.250  0.986  0.391

Computed properties:
Space-group type ... Pnma (62)
Total DFT energy (no corrections) ... -118.36 eV per cell
Formation energy from raw total energies ... -0.913 eV per atom
Energy above the lowest structure with this stoichiometry ... 0 meV/atom

---

Crystalline Hf4GeSe at its relaxed geometry, computed with GGA-PBE.

Lattice parameters (Å, degrees): 7.160 7.160 7.160 105.88 105.88 116.91
Fractional positions:
Ge  0.498  0.998  0.500
Se  0.002  0.502  0.500
Hf  0.248  0.955  0.706
Hf  0.292  0.498  0.794
Se  0.252  0.252  0.000
Hf  0.752  0.047  0.295
Hf  0.797  0.002  0.795
Hf  0.705  0.498  0.206
Hf  0.207  0.002  0.205
Hf  0.752  0.457  0.705
Hf  0.248  0.542  0.294
Ge  0.748  0.748  0.000

Computed properties:
Space-group type ... I4_1md (109)
Total DFT energy (no corrections) ... -97.23 eV per cell
DOS(E_F) ... 9.1 states/eV/cell
Formation energy from raw total energies ... -0.117 eV per atom

---

Crystalline HfGe2Se at its relaxed geometry, computed with GGA-PBE.

Lattice parameters (Å, degrees): 6.149 6.149 7.405 65.47 65.47 90.00
Fractional positions:
Ge  0.619  0.125  0.250
Se  0.500  0.500  0.000
Hf  0.750  0.250  0.500
Ge  0.131  0.625  0.250
Se  0.250  0.750  0.500
Ge  0.375  0.381  0.750
Hf  0.000  0.000  0.000
Ge  0.875  0.869  0.750

Computed properties:
Space-group type ... I-42d (122)
Total DFT energy (no corrections) ... -42.35 eV per cell
DOS(E_F) ... 2.5 states/eV/cell
Formation energy from raw total energies ... 0.374 eV per atom

---

Crystalline HfGeSe3 at its relaxed geometry, computed with GGA-PBE.

Lattice parameters (Å, degrees): 4.137 6.780 11.139 90.00 100.70 90.00
Fractional positions:
Ge  0.330  0.522  0.661
Ge  0.670  0.022  0.339
Se  0.434  0.770  0.869
Se  0.882  0.297  0.764
Se  0.218  0.271  0.436
Se  0.118  0.797  0.236
Se  0.566  0.270  0.131
Hf  0.884  0.934  0.769
Hf  0.116  0.434  0.231
Se  0.782  0.771  0.564

Computed properties:
Space-group type ... Cmc2_1 (36)
Total DFT energy (no corrections) ... -56.99 eV per cell
Formation energy from raw total energies ... -0.694 eV per atom
Energy above the lowest structure with this stoichiometry ... 219 meV/atom

---

Crystalline HfTiGeSe2 at its relaxed geometry, computed with GGA-PBE.

Lattice parameters (Å, degrees): 4.977 4.977 5.087 90.00 90.00 90.00
Fractional positions:
Hf  0.000  0.000  0.500
Ti  0.500  0.500  0.500
Se  0.000  0.500  0.000
Ge  0.000  0.000  0.000
Se  0.500  0.000  0.000

Computed properties:
Space-group type ... P4/mmm (123)
Total DFT energy (no corrections) ... -25.73 eV per cell
DOS(E_F) ... 7.7 states/eV/cell
Formation energy from raw total energies ... 0.741 eV per atom

---

Crystalline Hf3SiGe at its relaxed geometry, computed with GGA-PBE.

Lattice parameters (Å, degrees): 3.699 7.468 7.700 93.84 90.00 90.00
Fractional positions:
Hf  0.750  0.619  0.372
Si  0.750  0.140  0.684
Hf  0.250  0.664  0.019
Ge  0.250  0.363  0.250
Hf  0.250  0.381  0.628
Ge  0.750  0.637  0.750
Hf  0.250  0.889  0.658
Hf  0.750  0.111  0.342
Hf  0.750  0.336  0.981
Si  0.250  0.860  0.316

Computed properties:
Space-group type ... P2_1/m (11)
Total DFT energy (no corrections) ... -84.09 eV per cell
DOS(E_F) ... 6.9 states/eV/cell
Formation energy from raw total energies ... -0.429 eV per atom
Energy above the lowest structure with this stoichiometry ... 0 meV/atom

---

Crystalline Hf12Si5Ge3 at its relaxed geometry, computed with GGA-PBE.

Lattice parameters (Å, degrees): 13.430 13.430 13.430 109.47 109.47 109.47
Fractional positions:
Si  0.875  0.625  0.750
Hf  0.667  0.446  0.579
Hf  0.588  0.867  0.421
Hf  0.133  0.412  0.079
Ge  0.875  0.750  0.125
Si  0.625  0.750  0.875
Si  0.250  0.875  0.125
Si  0.000  0.000  0.500
Hf  0.079  0.167  0.446
Hf  0.367  0.946  0.779
Si  0.500  0.000  0.500
Ge  0.250  0.125  0.375
Ge  0.750  0.375  0.125
Si  0.750  0.125  0.875
Ge  0.250  0.625  0.875
Hf  0.221  0.667  0.088
Hf  0.579  0.633  0.412
Si  0.000  0.500  0.000
Hf  0.946  0.367  0.279
Ge  0.625  0.250  0.375
Si  0.000  0.500  0.500
Si  0.125  0.750  0.375
Hf  0.921  0.833  0.554
Hf  0.333  0.779  0.412
Hf  0.779  0.333  0.912
Si  0.000  0.000  0.000
Si  0.625  0.875  0.250
Ge  0.625  0.375  0.750
Hf  0.554  0.221  0.133
Hf  0.867  0.279  0.446
Hf  0.921  0.088  0.867
Si  0.500  0.000  0.000
Si  0.375  0.250  0.125
Hf  0.633  0.054  0.221
Hf  0.446  0.667  0.079
Hf  0.421  0.054  0.333
Hf  0.088  0.167  0.221
Hf  0.912  0.079  0.633
Hf  0.421  0.367  0.588
Hf  0.779  0.446  0.367
Hf  0.833  0.912  0.279
Ge  0.125  0.250  0.875
Ge  0.875  0.125  0.250
Hf  0.946  0.579  0.167
Hf  0.054  0.633  0.721
Hf  0.867  0.588  0.921
Si  0.375  0.125  0.750
Ge  0.375  0.750  0.625
Ge  0.375  0.625  0.250
Hf  0.721  0.133  0.054
Hf  0.088  0.921  0.367
Hf  0.333  0.554  0.421
Si  0.250  0.375  0.625
Hf  0.279  0.412  0.833
Hf  0.279  0.867  0.946
Hf  0.446  0.779  0.867
Ge  0.125  0.875  0.750
Si  0.500  0.500  0.000
Hf  0.579  0.946  0.667
Ge  0.750  0.875  0.625
Si  0.750  0.625  0.375
Hf  0.667  0.221  0.588
Hf  0.167  0.079  0.946
Hf  0.079  0.912  0.133
Hf  0.554  0.333  0.921
Si  0.875  0.250  0.625
Hf  0.412  0.279  0.333
Hf  0.833  0.921  0.054
Si  0.500  0.500  0.500
Hf  0.167  0.088  0.721
Hf  0.912  0.833  0.779
Hf  0.633  0.579  0.912
Hf  0.133  0.721  0.554
Hf  0.721  0.588  0.167
Hf  0.367  0.421  0.088
Hf  0.588  0.721  0.667
Hf  0.412  0.133  0.579
Hf  0.221  0.554  0.633
Si  0.125  0.375  0.250
Hf  0.054  0.421  0.833

Computed properties:
Space-group type ... Ia-3d (230)
Total DFT energy (no corrections) ... -632.13 eV per cell
DOS(E_F) ... 73.2 states/eV/cell
Formation energy from raw total energies ... 0.119 eV per atom

---

Crystalline Hf6Si2Ge at its relaxed geometry, computed with GGA-PBE.

Lattice parameters (Å, degrees): 5.513 7.342 8.831 90.00 89.80 90.00
Fractional positions:
Hf  0.628  0.465  0.284
Ge  0.500  0.500  0.000
Si  0.595  0.883  0.746
Hf  0.390  0.811  0.442
Hf  0.633  0.163  0.945
Si  0.905  0.383  0.754
Hf  0.372  0.535  0.716
Hf  0.890  0.689  0.942
Hf  0.128  0.035  0.784
Hf  0.872  0.965  0.216
Hf  0.867  0.663  0.555
Ge  0.000  0.000  0.500
Hf  0.133  0.337  0.445
Hf  0.610  0.189  0.558
Hf  0.367  0.837  0.055
Hf  0.110  0.311  0.058
Si  0.095  0.617  0.246
Si  0.405  0.117  0.254

Computed properties:
Space-group type ... P2_1/c (14)
Total DFT energy (no corrections) ... -158.52 eV per cell
DOS(E_F) ... 12.8 states/eV/cell
Formation energy from raw total energies ... -0.453 eV per atom